Entry 1:
# PBE-GGA PdRhSe2Br, relaxed
data_PdRhSe2Br
_chemical_formula_sum 'Pd1 Rh1 Se2 Br1'
_cell_length_a 4.798
_cell_length_b 5.202
_cell_length_c 4.798
_cell_angle_alpha 90.00
_cell_angle_beta 90.00
_cell_angle_gamma 90.00
_symmetry_space_group_name_H-M 'P 1'
_symmetry_Int_Tables_number 1
loop_
_symmetry_equiv_pos_as_xyz
'x,y,z'
loop_
_atom_site_label
_atom_site_type_symbol
_atom_site_fract_x
_atom_site_fract_y
_atom_site_fract_z
Se1 Se 0.000 0.000 0.500
Se2 Se 0.500 0.000 0.000
Rh1 Rh 0.000 0.000 0.000
Br1 Br 0.000 0.500 0.000
Pd1 Pd 0.500 0.500 0.500
# Raw formation energy ... 2.60 eV per formula unit
# D(E_F) ... 8.25 states/eV per cell



Entry 2:
# PBE-GGA Sm6PdRh2Br3, relaxed
data_Sm6PdRh2Br3
_chemical_formula_sum 'Sm6 Pd1 Rh2 Br3'
_cell_length_a 4.107
_cell_length_b 9.075
_cell_length_c 9.963
_cell_angle_alpha 110.58
_cell_angle_beta 101.90
_cell_angle_gamma 90.00
_symmetry_space_group_name_H-M 'P 1'
_symmetry_Int_Tables_number 1
loop_
_symmetry_equiv_pos_as_xyz
'x,y,z'
loop_
_atom_site_label
_atom_site_type_symbol
_atom_site_fract_x
_atom_site_fract_y
_atom_site_fract_z
Br1 Br 0.834 0.166 0.667
Br2 Br 0.500 0.500 0.000
Br3 Br 0.166 0.834 0.333
Sm1 Sm 0.680 0.552 0.360
Sm2 Sm 0.986 0.773 0.971
Sm3 Sm 0.014 0.227 0.029
Sm4 Sm 0.320 0.448 0.640
Sm5 Sm 0.342 0.882 0.684
Sm6 Sm 0.658 0.118 0.316
Pd1 Pd 0.500 0.000 0.000
Rh1 Rh 0.834 0.668 0.668
Rh2 Rh 0.166 0.332 0.332
# Raw formation energy ... -12.71 eV per formula unit
# D(E_F) ... 6.10 states/eV per cell



Entry 3:
# PBE-GGA Sm8PdRh3Br4, relaxed
data_Sm8PdRh3Br4
_chemical_formula_sum 'Sm8 Pd1 Rh3 Br4'
_cell_length_a 8.198
_cell_length_b 9.081
_cell_length_c 8.195
_cell_angle_alpha 116.88
_cell_angle_beta 120.01
_cell_angle_gamma 90.00
_symmetry_space_group_name_H-M 'P 1'
_symmetry_Int_Tables_number 1
loop_
_symmetry_equiv_pos_as_xyz
'x,y,z'
loop_
_atom_site_label
_atom_site_type_symbol
_atom_site_fract_x
_atom_site_fract_y
_atom_site_fract_z
Br1 Br 0.500 0.000 0.500
Br2 Br 0.500 0.000 0.000
Br3 Br 0.000 0.000 0.500
Br4 Br 0.000 0.000 0.000
Sm1 Sm 0.732 0.696 0.464
Sm2 Sm 0.268 0.304 0.536
Sm3 Sm 0.764 0.304 0.039
Sm4 Sm 0.275 0.304 0.039
Sm5 Sm 0.725 0.696 0.961
Sm6 Sm 0.236 0.696 0.472
Sm7 Sm 0.764 0.304 0.528
Sm8 Sm 0.236 0.696 0.961
Pd1 Pd 0.000 0.500 0.000
Rh1 Rh 0.500 0.500 0.500
Rh2 Rh 0.000 0.500 0.500
Rh3 Rh 0.500 0.500 0.000
# Raw formation energy ... -17.09 eV per formula unit
# D(E_F) ... 6.18 states/eV per cell



Entry 4:
# PBE-GGA Sr6PdRh2Br3, relaxed
data_Sr6PdRh2Br3
_chemical_formula_sum 'Sr6 Pd1 Rh2 Br3'
_cell_length_a 7.528
_cell_length_b 7.528
_cell_length_c 8.220
_cell_angle_alpha 98.78
_cell_angle_beta 98.78
_cell_angle_gamma 120.00
_symmetry_space_group_name_H-M 'P 1'
_symmetry_Int_Tables_number 1
loop_
_symmetry_equiv_pos_as_xyz
'x,y,z'
loop_
_atom_site_label
_atom_site_type_symbol
_atom_site_fract_x
_atom_site_fract_y
_atom_site_fract_z
Pd1 Pd 0.000 0.000 0.000
Rh1 Rh 0.667 0.333 0.000
Rh2 Rh 0.333 0.667 0.000
Sr1 Sr 0.726 0.726 0.211
Sr2 Sr 0.585 0.930 0.789
Sr3 Sr 0.070 0.415 0.211
Sr4 Sr 0.930 0.585 0.789
Sr5 Sr 0.415 0.070 0.211
Sr6 Sr 0.274 0.274 0.789
Br1 Br 0.165 0.835 0.500
Br2 Br 0.835 0.165 0.500
Br3 Br 0.500 0.500 0.500
# Raw formation energy ... -11.65 eV per formula unit
# D(E_F) ... 2.57 states/eV per cell



Entry 5:
# PBE-GGA ZnPdRhBr2, relaxed
data_ZnPdRhBr2
_chemical_formula_sum 'Zn1 Pd1 Rh1 Br2'
_cell_length_a 4.999
_cell_length_b 4.831
_cell_length_c 4.999
_cell_angle_alpha 90.00
_cell_angle_beta 90.00
_cell_angle_gamma 90.00
_symmetry_space_group_name_H-M 'P 1'
_symmetry_Int_Tables_number 1
loop_
_symmetry_equiv_pos_as_xyz
'x,y,z'
loop_
_atom_site_label
_atom_site_type_symbol
_atom_site_fract_x
_atom_site_fract_y
_atom_site_fract_z
Br1 Br 0.500 0.000 0.000
Br2 Br 0.000 0.000 0.500
Rh1 Rh 0.000 0.000 0.000
Pd1 Pd 0.500 0.500 0.500
Zn1 Zn 0.000 0.500 0.000
# Raw formation energy ... 2.18 eV per formula unit
# D(E_F) ... 5.73 states/eV per cell



Entry 6:
# PBE-GGA ZnPdRhBr2, relaxed
data_ZnPdRhBr2
_chemical_formula_sum 'Zn1 Pd1 Rh1 Br2'
_cell_length_a 4.952
_cell_length_b 4.865
_cell_length_c 4.952
_cell_angle_alpha 90.00
_cell_angle_beta 90.00
_cell_angle_gamma 90.00
_symmetry_space_group_name_H-M 'P 1'
_symmetry_Int_Tables_number 1
loop_
_symmetry_equiv_pos_as_xyz
'x,y,z'
loop_
_atom_site_label
_atom_site_type_symbol
_atom_site_fract_x
_atom_site_fract_y
_atom_site_fract_z
Zn1 Zn 0.000 0.000 0.000
Br1 Br 0.500 0.000 0.000
Br2 Br 0.000 0.000 0.500
Pd1 Pd 0.500 0.500 0.500
Rh1 Rh 0.000 0.500 0.000
# Raw formation energy ... 3.69 eV per formula unit
# D(E_F) ... 2.94 states/eV per cell



Entry 7:
# PBE-GGA Pd3RuBr, relaxed
data_Pd3RuBr
_chemical_formula_sum 'Pd3 Ru1 Br1'
_cell_length_a 4.842
_cell_length_b 4.842
_cell_length_c 4.842
_cell_angle_alpha 90.00
_cell_angle_beta 90.00
_cell_angle_gamma 90.00
_symmetry_space_group_name_H-M 'P 1'
_symmetry_Int_Tables_number 1
loop_
_symmetry_equiv_pos_as_xyz
'x,y,z'
loop_
_atom_site_label
_atom_site_type_symbol
_atom_site_fract_x
_atom_site_fract_y
_atom_site_fract_z
Pd1 Pd 0.500 0.000 0.000
Pd2 Pd 0.000 0.500 0.000
Pd3 Pd 0.000 0.000 0.500
Ru1 Ru 0.000 0.000 0.000
Br1 Br 0.500 0.500 0.500
# Raw formation energy ... 5.58 eV per formula unit
# D(E_F) ... 7.50 states/eV per cell



Entry 8:
# PBE-GGA Pd2RuBr, relaxed
data_Pd2RuBr
_chemical_formula_sum 'Pd2 Ru1 Br1'
_cell_length_a 4.593
_cell_length_b 4.593
_cell_length_c 4.593
_cell_angle_alpha 60.00
_cell_angle_beta 60.00
_cell_angle_gamma 60.00
_symmetry_space_group_name_H-M 'P 1'
_symmetry_Int_Tables_number 1
loop_
_symmetry_equiv_pos_as_xyz
'x,y,z'
loop_
_atom_site_label
_atom_site_type_symbol
_atom_site_fract_x
_atom_site_fract_y
_atom_site_fract_z
Br1 Br 0.000 0.000 0.000
Ru1 Ru 0.500 0.500 0.500
Pd1 Pd 0.250 0.250 0.250
Pd2 Pd 0.750 0.750 0.750
# Raw formation energy ... 3.03 eV per formula unit
# D(E_F) ... 4.35 states/eV per cell



Entry 9:
# PBE-GGA PdRuBr2, relaxed
data_PdRuBr2
_chemical_formula_sum 'Pd2 Ru2 Br4'
_cell_length_a 6.284
_cell_length_b 6.284
_cell_length_c 6.545
_cell_angle_alpha 61.31
_cell_angle_beta 61.31
_cell_angle_gamma 90.00
_symmetry_space_group_name_H-M 'P 1'
_symmetry_Int_Tables_number 1
loop_
_symmetry_equiv_pos_as_xyz
'x,y,z'
loop_
_atom_site_label
_atom_site_type_symbol
_atom_site_fract_x
_atom_site_fract_y
_atom_site_fract_z
Br1 Br 0.875 0.854 0.750
Br2 Br 0.604 0.125 0.250
Br3 Br 0.375 0.396 0.750
Br4 Br 0.146 0.625 0.250
Ru1 Ru 0.250 0.750 0.500
Ru2 Ru 0.500 0.500 0.000
Pd1 Pd 0.750 0.250 0.500
Pd2 Pd 0.000 0.000 0.000
# Raw formation energy ... 2.23 eV per formula unit
# D(E_F) ... 5.37 states/eV per cell



Entry 10:
# PBE-GGA PdRuBr2, relaxed
data_PdRuBr2
_chemical_formula_sum 'Pd1 Ru1 Br2'
_cell_length_a 8.893
_cell_length_b 8.893
_cell_length_c 8.893
_cell_angle_alpha 21.33
_cell_angle_beta 21.33
_cell_angle_gamma 21.33
_symmetry_space_group_name_H-M 'P 1'
_symmetry_Int_Tables_number 1
loop_
_symmetry_equiv_pos_as_xyz
'x,y,z'
loop_
_atom_site_label
_atom_site_type_symbol
_atom_site_fract_x
_atom_site_fract_y
_atom_site_fract_z
Br1 Br 0.091 0.091 0.091
Br2 Br 0.909 0.909 0.909
Ru1 Ru 0.000 0.000 0.000
Pd1 Pd 0.500 0.500 0.500
# Raw formation energy ... 2.46 eV per formula unit
# D(E_F) ... 5.34 states/eV per cell



Entry 11:
# PBE-GGA Pd2RuBr, relaxed
data_Pd2RuBr
_chemical_formula_sum 'Pd4 Ru2 Br2'
_cell_length_a 7.308
_cell_length_b 7.308
_cell_length_c 5.826
_cell_angle_alpha 51.16
_cell_angle_beta 51.16
_cell_angle_gamma 90.00
_symmetry_space_group_name_H-M 'P 1'
_symmetry_Int_Tables_number 1
loop_
_symmetry_equiv_pos_as_xyz
'x,y,z'
loop_
_atom_site_label
_atom_site_type_symbol
_atom_site_fract_x
_atom_site_fract_y
_atom_site_fract_z
Pd1 Pd 0.121 0.625 0.250
Pd2 Pd 0.629 0.125 0.250
Pd3 Pd 0.375 0.371 0.750
Pd4 Pd 0.875 0.879 0.750
Br1 Br 0.250 0.750 0.500
Br2 Br 0.500 0.500 0.000
Ru1 Ru 0.000 0.000 0.000
Ru2 Ru 0.750 0.250 0.500
# Raw formation energy ... 2.71 eV per formula unit
# D(E_F) ... 6.83 states/eV per cell



Entry 12:
# PBE-GGA PdRuBr6, relaxed
data_PdRuBr6
_chemical_formula_sum 'Pd1 Ru1 Br6'
_cell_length_a 7.291
_cell_length_b 6.735
_cell_length_c 6.735
_cell_angle_alpha 115.19
_cell_angle_beta 105.00
_cell_angle_gamma 105.00
_symmetry_space_group_name_H-M 'P 1'
_symmetry_Int_Tables_number 1
loop_
_symmetry_equiv_pos_as_xyz
'x,y,z'
loop_
_atom_site_label
_atom_site_type_symbol
_atom_site_fract_x
_atom_site_fract_y
_atom_site_fract_z
Br1 Br 0.244 0.389 0.090
Br2 Br 0.244 0.090 0.389
Br3 Br 0.304 0.693 0.693
Br4 Br 0.756 0.611 0.910
Br5 Br 0.696 0.307 0.307
Br6 Br 0.756 0.910 0.611
Ru1 Ru 0.500 0.500 0.500
Pd1 Pd 0.000 0.000 0.000
# Raw formation energy ... -1.90 eV per formula unit
# D(E_F) ... 0.98 states/eV per cell



Entry 13:
# PBE-GGA PdRu2Br, relaxed
data_PdRu2Br
_chemical_formula_sum 'Pd2 Ru4 Br2'
_cell_length_a 5.202
_cell_length_b 5.202
_cell_length_c 7.322
_cell_angle_alpha 69.20
_cell_angle_beta 69.20
_cell_angle_gamma 90.00
_symmetry_space_group_name_H-M 'P 1'
_symmetry_Int_Tables_number 1
loop_
_symmetry_equiv_pos_as_xyz
'x,y,z'
loop_
_atom_site_label
_atom_site_type_symbol
_atom_site_fract_x
_atom_site_fract_y
_atom_site_fract_z
Ru1 Ru 0.375 0.397 0.750
Ru2 Ru 0.147 0.625 0.250
Ru3 Ru 0.875 0.853 0.750
Ru4 Ru 0.603 0.125 0.250
Pd1 Pd 0.750 0.250 0.500
Pd2 Pd 0.000 0.000 0.000
Br1 Br 0.250 0.750 0.500
Br2 Br 0.500 0.500 0.000
# Raw formation energy ... 5.16 eV per formula unit
# D(E_F) ... 19.50 states/eV per cell